(1)
# La2Nd3SmAs6

Crystalline La2Nd3SmAs6 at its relaxed geometry (PBE, Alexandria via LeMat-Bulk).

Properties
The formation energy is -1.532 eV/atom. As for the space group: C2/m, No. 12. As for the density: 6.46 g/cm³.

a b c (Å): 4.3002 8.5977 9.6095
angles (deg): 102.95 102.93 90.00
With the nearest neighbours (Å) after each atom.
Element x y z (fractional)
La1 0.8343 0.6681 0.6686  6 As 3.04-3.07
La2 0.1657 0.3319 0.3314  6 As 3.04-3.07
Nd1 0.5000 0.5000 0.0000  6 As 3.02-3.06
Nd2 0.8333 0.1659 0.6666  6 As 3.02-3.06
Nd3 0.1667 0.8341 0.3334  6 As 3.02-3.06
Sm1 0.5000 0.0000 0.0000  6 As 3.02
As1 0.3345 0.9202 0.6690  1 Sm 3.02, 3 Nd 3.02-3.06, 2 La 3.05
As2 0.6657 0.5857 0.3315  3 Nd 3.02-3.03, 3 La 3.06-3.07
As3 0.6655 0.0798 0.3310  1 Sm 3.02, 3 Nd 3.02-3.06, 2 La 3.05
As4 0.9987 0.2468 0.9974  3 Nd 3.02-3.06, 2 Sm 3.02, 1 La 3.04
As5 0.0013 0.7532 0.0026  3 Nd 3.02-3.06, 2 Sm 3.02, 1 La 3.04
As6 0.3343 0.4143 0.6685  3 Nd 3.02-3.03, 3 La 3.06-3.07

***

(2)
# ZrPaFe2H6

Crystalline ZrPaFe2H6 at its relaxed geometry (PBE, Alexandria via LeMat-Bulk).

Properties
As for the space group: R-3m, No. 166. As for the density: 8.32 g/cm³.

a b c (Å): 4.3796 4.3796 5.8612
angles (deg): 68.06 68.06 60.00
With the nearest neighbours (Å) after each atom.
Element x y z (fractional)
Zr1 0.5000 0.5000 0.5000  6 H 2.10
Pa1 0.0000 0.0000 0.0000  12 H 2.38
Fe1 0.7860 0.7860 0.6421  3 H 1.61
Fe2 0.2140 0.2140 0.3579  3 H 1.61
H1 0.0688 0.5544 0.8224  1 Fe 1.61
H2 0.5545 0.0688 0.8224  1 Fe 1.61
H3 0.4456 0.4455 0.1776  1 Fe 1.61
H4 0.9312 0.4456 0.1776  1 Fe 1.61
H5 0.4455 0.9312 0.1776  1 Fe 1.61
H6 0.5544 0.5545 0.8224  1 Fe 1.61

***

Number 1: D(E_F) 0.133 states/eV per atom, E_tot -75.2 eV for the cell shown. Number 2: D(E_F) 0.368 states/eV per atom, E_tot -58.1 eV for the cell shown.